[1]
# PBE Gd2Si3Mo2, relaxed
data_Gd2Si3Mo2
_chemical_formula_sum 'Gd4 Si6 Mo4'
_cell_length_a 13.697
_cell_length_b 3.707
_cell_length_c 6.142
_cell_angle_alpha 90.00
_cell_angle_beta 110.65
_cell_angle_gamma 90.00
_space_group_name_H-M_alt 'C 1 2/m 1'
_space_group_IT_number 12
loop_
_space_group_symop_operation_xyz
'x,y,z'
'-x,-y,-z'
'-x,y,-z'
'x,-y,z'
'x+1/2,y+1/2,z'
'-x+1/2,-y+1/2,-z'
'-x+1/2,y+1/2,-z'
'x+1/2,-y+1/2,z'
loop_
_atom_site_label
_atom_site_fract_x
_atom_site_fract_y
_atom_site_fract_z
_atom_site_occupancy
Gd1 0.098 0.000 0.276 1
Si1 0.000 0.500 0.500 1
Si2 0.242 0.000 0.735 1
Mo1 0.153 0.500 0.846 1
# VASP energy in eV/atom: -6.933
# Crystal system: monoclinic

[2]
# PBE GdTlMo, relaxed
data_GdTlMo
_chemical_formula_sum 'Gd2 Tl2 Mo2'
_cell_length_a 4.159
_cell_length_b 4.159
_cell_length_c 8.118
_cell_angle_alpha 90.00
_cell_angle_beta 90.00
_cell_angle_gamma 90.00
_space_group_name_H-M_alt 'P 4/n m m'
_space_group_IT_number 129
loop_
_space_group_symop_operation_xyz
'x,y,z'
'-x,-y,-z'
'-y+1/2,x,z'
'y+1/2,-x,-z'
'-x+1/2,-y+1/2,z'
'x+1/2,y+1/2,-z'
'y,-x+1/2,z'
'-y,x+1/2,-z'
'x+1/2,-y,-z'
'-x+1/2,y,z'
'-y,-x,-z'
'y,x,z'
'-x,y+1/2,-z'
'x,-y+1/2,z'
'y+1/2,x+1/2,-z'
'-y+1/2,-x+1/2,z'
loop_
_atom_site_label
_atom_site_fract_x
_atom_site_fract_y
_atom_site_fract_z
_atom_site_occupancy
Gd1 0.250 0.250 0.157 1
Tl1 0.250 0.250 0.751 1
Mo1 0.250 0.750 0.500 1
# Energy relative to the lowest polymorph listed for this composition in eV per formula unit: 0.000
# VASP energy in eV/atom: -5.789
# Crystal system: tetragonal

[3]
# PBE GdTlMo, relaxed
data_GdTlMo
_chemical_formula_sum 'Gd4 Tl4 Mo4'
_cell_length_a 6.831
_cell_length_b 6.831
_cell_length_c 6.831
_cell_angle_alpha 90.00
_cell_angle_beta 90.00
_cell_angle_gamma 90.00
_space_group_name_H-M_alt 'F -4 3 m'
_space_group_IT_number 216
_space_group_name_Hall 'F -4 2 3'
loop_
_atom_site_label
_atom_site_fract_x
_atom_site_fract_y
_atom_site_fract_z
_atom_site_occupancy
Gd1 0.000 0.000 0.000 1
Tl1 0.250 0.250 0.250 1
Mo1 0.000 0.000 0.500 1
# Energy relative to the lowest polymorph listed for this composition in eV per formula unit: 1.941
# VASP energy in eV/atom: -5.142
# Crystal system: cubic

[4]
# PBE GdMoW, relaxed
data_GdMoW
_chemical_formula_sum 'Gd4 Mo4 W4'
_cell_length_a 6.415
_cell_length_b 6.415
_cell_length_c 6.415
_cell_angle_alpha 90.00
_cell_angle_beta 90.00
_cell_angle_gamma 90.00
_space_group_name_H-M_alt 'F -4 3 m'
_space_group_IT_number 216
_space_group_name_Hall 'F -4 2 3'
loop_
_atom_site_label
_atom_site_fract_x
_atom_site_fract_y
_atom_site_fract_z
_atom_site_occupancy
Gd1 0.000 0.000 0.000 1
Mo1 0.250 0.250 0.750 1
W1 0.250 0.250 0.250 1
# Formation energy from the elements in eV/atom: 2.013
# VASP energy in eV/atom: -7.475
# Crystal system: cubic

[5]
# PBE GdYMo, relaxed
data_GdYMo
_chemical_formula_sum 'Gd4 Y4 Mo4'
_cell_length_a 6.965
_cell_length_b 6.965
_cell_length_c 6.965
_cell_angle_alpha 90.00
_cell_angle_beta 90.00
_cell_angle_gamma 90.00
_space_group_name_H-M_alt 'F -4 3 m'
_space_group_IT_number 216
_space_group_name_Hall 'F -4 2 3'
loop_
_atom_site_label
_atom_site_fract_x
_atom_site_fract_y
_atom_site_fract_z
_atom_site_occupancy
Gd1 0.000 0.000 0.000 1
Y1 0.250 0.250 0.250 1
Mo1 0.250 0.250 0.750 1
# Formation energy from the elements in eV/atom: 1.262
# Energy relative to the lowest polymorph listed for this composition in eV per formula unit: 0.000
# VASP energy in eV/atom: -6.060
# Crystal system: cubic

[6]
# PBE GdZnMo, relaxed
data_GdZnMo
_chemical_formula_sum 'Gd4 Zn4 Mo4'
_cell_length_a 6.408
_cell_length_b 6.408
_cell_length_c 6.408
_cell_angle_alpha 90.00
_cell_angle_beta 90.00
_cell_angle_gamma 90.00
_space_group_name_H-M_alt 'F -4 3 m'
_space_group_IT_number 216
_space_group_name_Hall 'F -4 2 3'
loop_
_atom_site_label
_atom_site_fract_x
_atom_site_fract_y
_atom_site_fract_z
_atom_site_occupancy
Gd1 0.000 0.000 0.000 1
Zn1 0.250 0.250 0.250 1
Mo1 0.000 0.000 0.500 1
# Formation energy from the elements in eV/atom: 0.628
# Energy relative to the lowest polymorph listed for this composition in eV per formula unit: 0.000
# VASP energy in eV/atom: -4.961
# Crystal system: cubic

[7]
# PBE GdN, relaxed
data_GdN
_chemical_formula_sum 'Gd4 N4'
_cell_length_a 5.321
_cell_length_b 5.321
_cell_length_c 5.321
_cell_angle_alpha 90.00
_cell_angle_beta 90.00
_cell_angle_gamma 90.00
_space_group_name_H-M_alt 'F -4 3 m'
_space_group_IT_number 216
_space_group_name_Hall 'F -4 2 3'
loop_
_atom_site_label
_atom_site_fract_x
_atom_site_fract_y
_atom_site_fract_z
_atom_site_occupancy
Gd1 0.000 0.000 0.000 1
N1 0.250 0.250 0.750 1
# VASP energy in eV/atom: -7.898
# Crystal system: cubic

[8]
# PBE GdN, relaxed
data_GdN
_chemical_formula_sum 'Gd4 N4'
_cell_length_a 6.425
_cell_length_b 3.543
_cell_length_c 6.186
_cell_angle_alpha 90.00
_cell_angle_beta 90.00
_cell_angle_gamma 90.00
_space_group_name_H-M_alt 'P m m a'
_space_group_IT_number 51
loop_
_space_group_symop_operation_xyz
'x,y,z'
'-x,-y,-z'
'-x+1/2,-y,z'
'x+1/2,y,-z'
'x+1/2,-y,-z'
'-x+1/2,y,z'
'-x,y,-z'
'x,-y,z'
loop_
_atom_site_label
_atom_site_fract_x
_atom_site_fract_y
_atom_site_fract_z
_atom_site_occupancy
Gd1 0.000 0.000 0.000 1
Gd2 0.250 0.500 0.494 1
N1 0.250 0.000 0.705 1
N2 0.250 0.500 0.130 1
# VASP energy in eV/atom: -7.479
# Crystal system: orthorhombic